Tb2ErCdN | PBE | optimized geometry

Results
density of states at the Fermi level	4.2	states/eV per cell
E_tot	-5.4592	eV per atom
SG	P4/mmm
total magnetization	0.00	μB/cell

a b c (Å): 4.759 4.866 4.866
angles (deg): 90.00 90.00 90.00
Sites, in units of the cell vectors:
1 Tb 0.000 0.000 0.500
2 Tb 0.000 0.500 0.000
3 Er 0.500 0.000 0.000
4 Cd 0.500 0.500 0.500
5 N 0.000 0.000 0.000